Entry 1:
First-principles (PBE) data for a relaxed MoPt2Au crystal, as listed in the Alexandria database.

Cell and atoms, written as extended XYZ:
```
4
Lattice="9.552 0.016 0.009 9.132 2.804 0.009 9.132 1.378 2.442" Properties=species:S:1:pos:R:3 pbc="T T T"
Au 6.954 1.050 0.615
Mo 20.862 3.149 1.846
Pt 13.772 2.079 1.218
Pt 0.135 0.020 0.012
```

## Properties
The formation energy comes out at -54.9 kJ/mol of formula units. The calculation puts the volume at 65 Å³/cell. For the total magnetization, the calculation gives 0.0 Bohr magnetons per cell. The density of states at the Fermi level comes out at 3.41 states/eV per cell. As for the electronic total energy: -6.6898 eV per atom.

=====

Entry 2:
First-principles (PBE) data for a relaxed AlC3I crystal, as listed in the Alexandria database.

Cell and atoms, written as extended XYZ:
```
5
Lattice="4.147 0.000 0.000 0.000 4.147 0.000 0.000 0.000 4.147" Properties=species:S:1:pos:R:3 pbc="T T T"
I 0.000 0.000 0.000
C 2.073 0.000 0.000
C 0.000 0.000 2.073
C 0.000 2.073 0.000
Al 2.073 2.073 2.073
```

## Properties
The calculation puts the volume at 71 Å³/cell. For the total magnetization, the calculation gives 0.0 Bohr magnetons per cell. The density of states at the Fermi level comes out at 3.61 states/eV per cell. As for the electronic total energy: -3.3182 eV per atom. The uncorrected formation energy is 3.275 eV per atom.

=====

Entry 3:
First-principles (PBE) data for a relaxed Ba3YMn crystal, as listed in the Alexandria database.

Cell and atoms, written as extended XYZ:
```
5
Lattice="5.931 0.000 0.000 0.000 5.931 0.000 0.000 0.000 5.931" Properties=species:S:1:pos:R:3 pbc="T T T"
Ba 0.000 0.000 2.965
Ba 0.000 2.965 0.000
Ba 2.965 0.000 0.000
Mn 0.000 0.000 0.000
Y 2.965 2.965 2.965
```

## Properties
The formation energy comes out at 393.3 kJ/mol of formula units. The calculation puts the volume at 209 Å³/cell. For the total magnetization, the calculation gives 0.0 Bohr magnetons per cell. The density of states at the Fermi level comes out at 9.99 states/eV per cell. As for the electronic total energy: -3.4651 eV per atom.